[1]
Compound: ThMg2Sc
Source: Alexandria via LeMat-Bulk
Functional: GGA-PBE
Structure: optimized geometry

Calculated values
V: 25.8 Å³/atom
space group: P4/mmm (123)
mass density: 5.249 g cm⁻³
formation energy: 28 meV per atom

Cell: 3.422 3.422 8.798 Å, 90.00 90.00 90.00°
Each line ends with the local moment (μB).
Sites, in units of the cell vectors:
1 Mg 0.000 0.000 0.272  0.00
2 Th 0.500 0.500 0.000  -0.01
3 Mg 0.000 0.000 0.728  0.00
4 Sc 0.500 0.500 0.500  0.14

[2]
Compound: ThMg2Sc
Source: Alexandria via LeMat-Bulk
Functional: GGA-PBE
Structure: optimized geometry

Calculated values
V: 26.5 Å³/atom
space group: R-3m (166)
mass density: 5.100 g cm⁻³
formation energy: 73 meV per atom

Cell: 3.321 3.321 11.263 Å, 81.52 81.52 60.00°
Sites, in units of the cell vectors:
1 Mg 0.255 0.255 0.234
2 Mg 0.745 0.745 0.766
3 Sc 0.000 0.000 0.000
4 Th 0.500 0.500 0.500

[3]
Compound: ThMgSc
Source: Alexandria via LeMat-Bulk
Functional: GGA-PBE
Structure: optimized geometry

Calculated values
V: 27.2 Å³/atom
space group: I4mm (107)
mass density: 6.142 g cm⁻³
energy above the lowest structure with this stoichiometry: 21.4 meV per atom
formation energy: 10 meV per atom

Cell: 3.433 3.433 7.326 Å, 103.55 103.55 90.00°
Sites, in units of the cell vectors:
1 Sc 0.327 0.327 0.653
2 Th 0.997 0.997 0.994
3 Mg 0.677 0.677 0.353

[4]
Compound: Th2MgSc7
Source: Alexandria via LeMat-Bulk
Functional: GGA-PBE
Structure: optimized geometry

Calculated values
V: 26.4 Å³/atom
space group: Cmmm (65)
mass density: 5.058 g cm⁻³
formation energy: 194 meV per atom

Cell: 3.244 13.675 13.675 Å, 154.24 90.00 90.00°
Sites, in units of the cell vectors:
1 Sc 0.500 0.500 0.500
2 Sc 0.500 0.147 0.342
3 Sc 0.500 0.853 0.658
4 Th 0.500 0.701 0.299
5 Sc 0.500 0.658 0.853
6 Sc 0.000 0.813 0.187
7 Sc 0.500 0.342 0.147
8 Sc 0.000 0.187 0.813
9 Mg 0.000 0.000 0.000
10 Th 0.500 0.299 0.701

[5]
Compound: ThMgSc
Source: Alexandria via LeMat-Bulk
Functional: GGA-PBE
Structure: optimized geometry

Calculated values
V: 31.1 Å³/atom
space group: P4/nmm (129)
mass density: 5.362 g cm⁻³
energy above the lowest structure with this stoichiometry: 603.6 meV per atom
formation energy: 592 meV per atom

Cell: 5.221 5.221 6.845 Å, 90.00 90.00 90.00°
Sites, in units of the cell vectors:
1 Th 0.000 0.000 0.500
2 Sc 0.500 0.000 0.797
3 Mg 0.000 0.000 0.000
4 Mg 0.500 0.500 0.000
5 Sc 0.000 0.500 0.203
6 Th 0.500 0.500 0.500

[6]
Compound: ThMgSc
Source: Alexandria via LeMat-Bulk
Functional: GGA-PBE
Structure: optimized geometry

Calculated values
V: 27.4 Å³/atom
space group: P2_1/m (11)
mass density: 6.079 g cm⁻³
energy above the lowest structure with this stoichiometry: 48.6 meV per atom
formation energy: 37 meV per atom

Cell: 5.287 3.359 9.867 Å, 69.98 90.00 90.00°
Sites, in units of the cell vectors:
1 Th 0.977 0.881 0.426
2 Sc 0.477 0.226 0.582
3 Th 0.477 0.403 0.902
4 Mg 0.977 0.726 0.082
5 Mg 0.477 0.558 0.247
6 Sc 0.977 0.058 0.747

[7]
Compound: ThMg14Sc
Source: Alexandria via LeMat-Bulk
Functional: GGA-PBE
Structure: optimized geometry

Calculated values
V: 23.8 Å³/atom
space group: Cmmm (65)
mass density: 2.691 g cm⁻³
formation energy: 21 meV per atom

Cell: 6.824 6.824 8.179 Å, 90.00 90.00 89.95°
Sites, in units of the cell vectors:
1 Mg 0.375 0.875 0.000
2 Th 0.375 0.375 0.500
3 Sc 0.875 0.875 0.500
4 Mg 0.119 0.631 0.242
5 Mg 0.119 0.119 0.758
6 Mg 0.631 0.631 0.758
7 Mg 0.875 0.375 0.000
8 Mg 0.875 0.875 0.000
9 Mg 0.119 0.119 0.242
10 Mg 0.631 0.119 0.758
11 Mg 0.631 0.119 0.242
12 Mg 0.375 0.875 0.500
13 Mg 0.119 0.631 0.758
14 Mg 0.631 0.631 0.242
15 Mg 0.875 0.375 0.500
16 Mg 0.375 0.375 0.000

[8]
Compound: Th2MgSc6
Source: Alexandria via LeMat-Bulk
Functional: GGA-PBE
Structure: optimized geometry

Calculated values
V: 26.3 Å³/atom
space group: Imm2 (44)
mass density: 5.313 g cm⁻³
formation energy: 119 meV per atom

Cell: 3.222 9.461 9.461 Å, 56.85 80.21 80.21°
Sites, in units of the cell vectors:
1 Sc 0.334 0.991 0.344
2 Th 0.841 0.659 0.659
3 Sc 0.668 0.009 0.656
4 Sc 0.334 0.344 0.991
5 Sc 0.499 0.326 0.674
6 Th 0.157 0.341 0.341
7 Sc 0.668 0.656 0.009
8 Sc 0.499 0.674 0.326
9 Mg 0.999 0.000 0.000

[9]
Compound: ThMgSc4
Source: Alexandria via LeMat-Bulk
Functional: GGA-PBE
Structure: optimized geometry

Calculated values
V: 25.6 Å³/atom
space group: P4/mmm (123)
mass density: 4.719 g cm⁻³
energy above the lowest structure with this stoichiometry: 0.0 meV per atom
formation energy: 12 meV per atom

Cell: 3.361 3.361 13.591 Å, 90.00 90.00 90.00°
Sites, in units of the cell vectors:
1 Sc 0.500 0.500 0.156
2 Sc 0.500 0.500 0.844
3 Sc 0.000 0.000 0.679
4 Th 0.500 0.500 0.500
5 Sc 0.000 0.000 0.321
6 Mg 0.000 0.000 0.000

[10]
Compound: Th2MgSc
Source: Alexandria via LeMat-Bulk
Functional: GGA-PBE
Structure: optimized geometry

Calculated values
V: 30.1 Å³/atom
space group: R-3m (166)
mass density: 7.347 g cm⁻³
energy above the lowest structure with this stoichiometry: 226.8 meV per atom
formation energy: 265 meV per atom

Cell: 3.365 3.365 12.447 Å, 82.23 82.23 60.00°
Sites, in units of the cell vectors:
1 Th 0.910 0.910 0.270
2 Sc 0.500 0.500 0.500
3 Mg 0.000 0.000 0.000
4 Th 0.090 0.090 0.730

[11]
Compound: Th2MgSc
Source: Alexandria via LeMat-Bulk
Functional: GGA-PBE
Structure: optimized geometry

Calculated values
V: 28.5 Å³/atom
space group: Fm-3m (225)
mass density: 7.774 g cm⁻³
energy above the lowest structure with this stoichiometry: 72.5 meV per atom
formation energy: 110 meV per atom

Cell: 5.441 5.441 5.441 Å, 60.00 60.00 60.00°
Sites, in units of the cell vectors:
1 Th 0.250 0.250 0.250
2 Mg 0.000 0.000 0.000
3 Sc 0.500 0.500 0.500
4 Th 0.750 0.750 0.750

[12]
Compound: ThMgScTi
Source: Alexandria via LeMat-Bulk
Functional: GGA-PBE
Structure: optimized geometry

Calculated values
V: 23.9 Å³/atom
space group: F-43m (216)
mass density: 6.070 g cm⁻³
formation energy: 145 meV per atom

Cell: 5.131 5.131 5.131 Å, 60.00 60.00 60.00°
Each line ends with the local moment (μB).
Sites, in units of the cell vectors:
1 Sc 0.500 0.500 0.500  0.07
2 Ti 0.250 0.250 0.250  0.74
3 Mg 0.750 0.750 0.750  -0.01
4 Th 0.000 0.000 0.000  0.04

[13]
Compound: TmThMgSc
Source: Alexandria via LeMat-Bulk
Functional: GGA-PBE
Structure: optimized geometry

Calculated values
V: 29.9 Å³/atom
space group: I4mm (107)
mass density: 6.533 g cm⁻³
energy above the lowest structure with this stoichiometry: 103.3 meV per atom
formation energy: 178 meV per atom

Cell: 3.404 3.404 10.590 Å, 99.25 99.25 90.00°
Sites, in units of the cell vectors:
1 Tm 0.563 0.563 0.127
2 Th 0.942 0.942 0.883
3 Sc 0.330 0.330 0.660
4 Mg 0.177 0.177 0.354

[14]
Compound: TmThMgSc
Source: Alexandria via LeMat-Bulk
Functional: GGA-PBE
Structure: optimized geometry

Calculated values
V: 27.6 Å³/atom
space group: F-43m (216)
mass density: 7.062 g cm⁻³
energy above the lowest structure with this stoichiometry: 0.0 meV per atom
formation energy: 75 meV per atom

Cell: 5.388 5.388 5.388 Å, 60.00 60.00 60.00°
Sites, in units of the cell vectors:
1 Sc 0.500 0.500 0.500
2 Th 0.250 0.250 0.250
3 Mg 0.000 0.000 0.000
4 Tm 0.750 0.750 0.750

[15]
Compound: YThMgSc
Source: Alexandria via LeMat-Bulk
Functional: GGA-PBE
Structure: optimized geometry

Calculated values
V: 27.8 Å³/atom
space group: P4mm (99)
mass density: 5.829 g cm⁻³
energy above the lowest structure with this stoichiometry: 0.0 meV per atom
formation energy: -30 meV per atom

Cell: 3.582 3.582 8.664 Å, 90.00 90.00 90.00°
Sites, in units of the cell vectors:
1 Y 0.000 0.000 0.087
2 Sc 0.000 0.000 0.553
3 Mg 0.500 0.500 0.339
4 Th 0.500 0.500 0.806

[16]
Compound: YThMgSc
Source: Alexandria via LeMat-Bulk
Functional: GGA-PBE
Structure: optimized geometry

Calculated values
V: 28.2 Å³/atom
space group: F-43m (216)
mass density: 5.751 g cm⁻³
energy above the lowest structure with this stoichiometry: 99.3 meV per atom
formation energy: 69 meV per atom

Cell: 5.421 5.421 5.421 Å, 60.00 60.00 60.00°
Sites, in units of the cell vectors:
1 Mg 0.500 0.500 0.500
2 Y 0.250 0.250 0.250
3 Th 0.750 0.750 0.750
4 Sc 0.000 0.000 0.000

[17]
Compound: Mg2Sc2Ti
Source: Alexandria via LeMat-Bulk
Functional: GGA-PBE
Structure: optimized geometry

Calculated values
V: 22.0 Å³/atom
space group: I4/mmm (139)
mass density: 2.810 g cm⁻³
energy above the lowest structure with this stoichiometry: 0.0 meV per atom
formation energy: -13 meV per atom

Cell: 3.180 3.180 11.120 Å, 98.22 98.22 90.00°
Sites, in units of the cell vectors:
1 Sc 0.593 0.593 0.185
2 Ti 0.000 0.000 0.000
3 Sc 0.407 0.407 0.815
4 Mg 0.200 0.200 0.400
5 Mg 0.800 0.800 0.600

[18]
Compound: Mg2ScTi
Source: Alexandria via LeMat-Bulk
Functional: GGA-PBE
Structure: optimized geometry

Calculated values
V: 20.9 Å³/atom
space group: P4/mmm (123)
mass density: 2.803 g cm⁻³
energy above the lowest structure with this stoichiometry: 0.0 meV per atom
formation energy: 123 meV per atom

Cell: 3.433 3.433 7.110 Å, 90.00 90.00 90.00°
Sites, in units of the cell vectors:
1 Mg 0.000 0.000 0.768
2 Sc 0.500 0.500 0.500
3 Mg 0.000 0.000 0.232
4 Ti 0.500 0.500 0.000

[19]
Compound: MgSc2Ti
Source: Alexandria via LeMat-Bulk
Functional: GGA-PBE
Structure: optimized geometry

Calculated values
V: 22.0 Å³/atom
space group: P4/mmm (123)
mass density: 3.063 g cm⁻³
formation energy: 4 meV per atom

Cell: 3.181 3.181 8.683 Å, 90.00 90.00 90.00°
Sites, in units of the cell vectors:
1 Sc 0.000 0.000 0.231
2 Ti 0.500 0.500 0.000
3 Sc 0.000 0.000 0.769
4 Mg 0.500 0.500 0.500

[20]
Compound: Mg5Sc12Ti3
Source: Alexandria via LeMat-Bulk
Functional: GGA-PBE
Structure: optimized geometry

Calculated values
V: 30.4 Å³/atom
space group: Ia-3d (230)
mass density: 2.195 g cm⁻³
formation energy: 823 meV per atom

Cell: 14.680 14.680 14.680 Å, 109.47 109.47 109.47°
Each line ends with the local moment (μB).
Sites, in units of the cell vectors:
1 Ti 0.375 0.750 0.625  1.40
2 Sc 0.424 0.768 0.858  0.38
3 Sc 0.590 0.858 0.434  0.38
4 Sc 0.410 0.268 0.343  0.38
5 Sc 0.768 0.343 0.910  0.38
6 Sc 0.424 0.657 0.066  0.38
7 Ti 0.125 0.875 0.750  1.40
8 Mg 0.375 0.250 0.125  0.00
9 Sc 0.843 0.910 0.268  0.38
10 Sc 0.768 0.424 0.358  0.38
11 Mg 0.500 0.000 0.500  0.00
12 Sc 0.732 0.590 0.157  0.38
13 Ti 0.625 0.250 0.375  1.40
14 Sc 0.142 0.732 0.576  0.38
15 Sc 0.343 0.576 0.434  0.38
16 Ti 0.250 0.125 0.375  1.40
17 Ti 0.750 0.875 0.625  1.40
18 Mg 0.875 0.625 0.750  0.00
19 Mg 0.500 0.000 0.000  0.00
20 Sc 0.268 0.858 0.924  0.38
21 Sc 0.910 0.066 0.642  0.38
22 Sc 0.924 0.358 0.268  0.38
23 Ti 0.125 0.250 0.875  1.40
24 Ti 0.875 0.750 0.125  1.40
25 Sc 0.642 0.566 0.910  0.38
26 Sc 0.924 0.566 0.157  0.38
27 Sc 0.358 0.924 0.768  0.38
28 Mg 0.750 0.125 0.875  0.00
29 Mg 0.750 0.625 0.375  0.00
30 Sc 0.934 0.843 0.576  0.38
31 Mg 0.500 0.500 0.000  0.00
32 Ti 0.250 0.625 0.875  1.40
33 Sc 0.576 0.343 0.934  0.38
34 Sc 0.076 0.434 0.843  0.38
35 Sc 0.732 0.142 0.076  0.38
36 Sc 0.910 0.843 0.768  0.38
37 Mg 0.875 0.250 0.625  0.00
38 Sc 0.076 0.642 0.732  0.38
39 Sc 0.343 0.768 0.410  0.38
40 Sc 0.843 0.934 0.076  0.38
41 Sc 0.566 0.642 0.410  0.38
42 Mg 0.375 0.125 0.750  0.00
43 Sc 0.934 0.090 0.858  0.38
44 Mg 0.250 0.375 0.625  0.00
45 Sc 0.157 0.066 0.924  0.38
46 Sc 0.434 0.358 0.590  0.38
47 Sc 0.590 0.732 0.657  0.38
48 Mg 0.000 0.500 0.000  0.00
49 Sc 0.268 0.410 0.843  0.38
50 Sc 0.066 0.910 0.142  0.38
51 Ti 0.750 0.375 0.125  1.40
52 Mg 0.000 0.000 0.000  0.00
53 Mg 0.000 0.500 0.500  0.00
54 Sc 0.232 0.657 0.090  0.38
55 Mg 0.125 0.750 0.375  0.00
56 Sc 0.090 0.934 0.358  0.38
57 Mg 0.625 0.875 0.250  0.00
58 Ti 0.625 0.375 0.750  1.40
59 Mg 0.625 0.750 0.875  0.00
60 Ti 0.375 0.625 0.250  1.40
61 Sc 0.642 0.076 0.232  0.38
62 Sc 0.157 0.090 0.732  0.38
63 Mg 0.125 0.375 0.250  0.00
64 Sc 0.858 0.590 0.934  0.38
65 Sc 0.657 0.424 0.566  0.38
66 Ti 0.875 0.125 0.250  1.40
67 Mg 0.500 0.500 0.500  0.00
68 Sc 0.358 0.434 0.090  0.38
69 Sc 0.434 0.076 0.343  0.38
70 Sc 0.232 0.576 0.642  0.38
71 Sc 0.090 0.157 0.232  0.38
72 Sc 0.566 0.924 0.657  0.38
73 Sc 0.410 0.142 0.566  0.38
74 Sc 0.142 0.410 0.066  0.38
75 Mg 0.000 0.000 0.500  0.00
76 Mg 0.250 0.875 0.125  0.00
77 Sc 0.858 0.268 0.424  0.38
78 Sc 0.657 0.232 0.590  0.38
79 Sc 0.066 0.157 0.424  0.38
80 Sc 0.576 0.232 0.142  0.38

[21]
Compound: Mg2ScTi
Source: Alexandria via LeMat-Bulk
Functional: GGA-PBE
Structure: optimized geometry

Calculated values
V: 20.9 Å³/atom
space group: Fm-3m (225)
mass density: 2.809 g cm⁻³
energy above the lowest structure with this stoichiometry: 13.1 meV per atom
formation energy: 137 meV per atom

Cell: 4.908 4.908 4.908 Å, 60.00 60.00 60.00°
Sites, in units of the cell vectors:
1 Mg 0.250 0.250 0.250
2 Sc 0.000 0.000 0.000
3 Ti 0.500 0.500 0.500
4 Mg 0.750 0.750 0.750

[22]
Compound: Mg2Sc2Ti
Source: Alexandria via LeMat-Bulk
Functional: GGA-PBE
Structure: optimized geometry

Calculated values
V: 22.7 Å³/atom
space group: P4/mbm (127)
mass density: 2.723 g cm⁻³
energy above the lowest structure with this stoichiometry: 308.5 meV per atom
formation energy: 295 meV per atom

Cell: 8.218 8.218 3.366 Å, 90.00 90.00 90.00°
Each line ends with the local moment (μB).
Sites, in units of the cell vectors:
1 Mg 0.873 0.627 0.000  -0.02
2 Sc 0.674 0.826 0.500  -0.19
3 Ti 0.500 0.500 0.000  0.98
4 Mg 0.373 0.873 0.000  -0.02
5 Sc 0.326 0.174 0.500  -0.19
6 Mg 0.627 0.127 0.000  -0.02
7 Mg 0.127 0.373 0.000  -0.02
8 Sc 0.826 0.326 0.500  -0.21
9 Sc 0.174 0.674 0.500  -0.21
10 Ti 0.000 0.000 0.000  0.98

[23]
Compound: Mg3ScTi
Source: Alexandria via LeMat-Bulk
Functional: GGA-PBE
Structure: optimized geometry

Calculated values
V: 27.3 Å³/atom
space group: Pm-3m (221)
mass density: 2.014 g cm⁻³
energy above the lowest structure with this stoichiometry: 0.0 meV per atom
formation energy: 865 meV per atom

Cell: 5.151 5.151 5.151 Å, 90.00 90.00 90.00°
Each line ends with the local moment (μB).
Sites, in units of the cell vectors:
1 Mg 0.000 0.000 0.500  0.03
2 Sc 0.500 0.500 0.500  -0.03
3 Mg 0.500 0.000 0.000  0.07
4 Ti 0.000 0.000 0.000  1.93
5 Mg 0.000 0.500 0.000  0.06

[24]
Compound: MgScTi2
Source: Alexandria via LeMat-Bulk
Functional: GGA-PBE
Structure: optimized geometry

Calculated values
V: 20.8 Å³/atom
space group: I-42d (122)
mass density: 3.290 g cm⁻³
formation energy: 498 meV per atom

Cell: 4.025 4.025 10.666 Å, 79.12 79.12 90.00°
Each line ends with the local moment (μB).
Sites, in units of the cell vectors:
1 Mg 0.500 0.500 0.000  0.00
2 Ti 0.125 0.125 0.250  1.00
3 Sc 0.750 0.250 0.500  0.13
4 Ti 0.375 0.875 0.750  1.00
5 Ti 0.875 0.375 0.750  0.99
6 Sc 0.000 0.000 0.000  0.13
7 Mg 0.250 0.750 0.500  0.00
8 Ti 0.625 0.625 0.250  1.00